The following is a SCAN calculation of a PBEsol-optimized structure of Si2AgBr, from Alexandria.

Fermi-level density of states ... 1.1 states/eV/cell
Excess energy over the best structure of this formula in the dataset ... 0.0 kJ per mole of atoms
Formation energy (no corrections) ... 400 meV per atom
DFT total energy ... -17.31 eV/atom

Lattice parameters (Å, degrees): 3.5531 3.6876 6.8034 105.72 105.14 90.00
With the nearest neighbours (Å) after each atom.
Fractional coordinates of all 4 atoms:
Br  0.1943  0.6943  0.3885  2 Ag 2.90, 4 Si 3.15
Si  0.9534  0.9534  0.9068  2 Si 2.33
Si  0.8399  0.3399  0.6797  2 Si 2.33
Ag  0.5125  0.5125  0.0250  6 Si 2.67-2.81, 2 Br 2.90